Entry 1:
# YCrAsBr2 | the Alexandria database | PBE-GGA | optimized geometry
# energy above the lowest structure with this stoichiometry	0.133	eV/atom
# ΔE_f (raw)	-0.215	eV per atom
# V	171	Å³/cell
# total moment	0.799	μB per atom
data_YCrAsBr2
_chemical_formula_sum 'Y1 Cr1 As1 Br2'
_cell_length_a 5.446
_cell_length_b 5.446
_cell_length_c 5.771
_cell_angle_alpha 90.00
_cell_angle_beta 90.00
_cell_angle_gamma 90.00
_symmetry_space_group_name_H-M 'P 4/m m m'
_symmetry_Int_Tables_number 123
_symmetry_space_group_name_Hall '-P 4 2'
loop_
_atom_site_label
_atom_site_fract_x
_atom_site_fract_y
_atom_site_fract_z
Y1 0.000 0.000 0.000
Cr1 0.500 0.500 0.500
As1 0.000 0.000 0.500
Br1 0.000 0.500 0.000


Entry 2:
# CrAuSe | the Alexandria database | PBE-GGA | optimized geometry
# energy above the lowest structure with this stoichiometry	0.000	eV/atom
# ΔE_f (raw)	-0.111	eV per atom
# V	61	Å³/cell
# total moment	1.001	μB per atom
data_CrAuSe
_chemical_formula_sum 'Cr1 Au1 Se1'
_cell_length_a 3.4600
_cell_length_b 3.4600
_cell_length_c 5.8524
_cell_angle_alpha 90.00
_cell_angle_beta 90.00
_cell_angle_gamma 120.00
_symmetry_space_group_name_H-M 'P 3 m 1'
_symmetry_Int_Tables_number 156
loop_
_symmetry_equiv_pos_as_xyz
'x,y,z'
'-y,x-y,z'
'-x+y,-x,z'
'-y,-x,z'
'-x+y,y,z'
'x,x-y,z'
loop_
_atom_site_label
_atom_site_fract_x
_atom_site_fract_y
_atom_site_fract_z
Cr1 0.0000 0.0000 0.0000
Au1 0.3333 0.6667 0.6948
Se1 0.6667 0.3333 0.2412


Entry 3:
# ScTeMo3 | the Alexandria database | PBE-GGA | optimized geometry
# energy above the lowest structure with this stoichiometry	0.435	eV/atom
# ΔE_f (raw)	1.868	eV per atom
# V	105	Å³/cell
# total moment	0.276	μB per atom
data_ScTeMo3
_chemical_formula_sum 'Sc1 Te1 Mo3'
_cell_length_a 4.719
_cell_length_b 4.719
_cell_length_c 4.719
_cell_angle_alpha 90.00
_cell_angle_beta 90.00
_cell_angle_gamma 90.00
_symmetry_space_group_name_H-M 'P m -3 m'
_symmetry_Int_Tables_number 221
_symmetry_space_group_name_Hall '-P 4 2 3'
loop_
_atom_site_label
_atom_site_fract_x
_atom_site_fract_y
_atom_site_fract_z
Sc1 0.000 0.000 0.000
Te1 0.500 0.500 0.500
Mo1 0.000 0.000 0.500


Entry 4:
# Ca2BeGaIr2 | the Alexandria database | PBE-GGA | optimized geometry
# V	461	Å³/cell
# energy relative to the elements	-455	meV/atom
# total moment	0.000	μB per atom
data_Ca2BeGaIr2
_chemical_formula_sum 'Ca8 Be4 Ga4 Ir8'
_cell_length_a 5.819
_cell_length_b 13.520
_cell_length_c 5.865
_cell_angle_alpha 90.00
_cell_angle_beta 90.00
_cell_angle_gamma 90.00
_symmetry_space_group_name_H-M 'I b a m'
_symmetry_Int_Tables_number 72
_symmetry_space_group_name_Hall '-I 2 2c'
loop_
_atom_site_label
_atom_site_fract_x
_atom_site_fract_y
_atom_site_fract_z
Ca1 0.240 0.171 0.000
Be1 0.000 0.500 0.250
Ga1 0.000 0.000 0.250
Ir1 0.220 0.405 0.000


Entry 5:
# CsSc2SnP | the Alexandria database | PBE-GGA | optimized geometry
# V	162	Å³/cell
# energy relative to the elements	1794	meV/atom
# total moment	0.000	μB per atom
data_CsSc2SnP
_chemical_formula_sum 'Cs1 Sc2 Sn1 P1'
_cell_length_a 5.269
_cell_length_b 5.269
_cell_length_c 5.836
_cell_angle_alpha 90.00
_cell_angle_beta 90.00
_cell_angle_gamma 90.00
_symmetry_space_group_name_H-M 'P 4/m m m'
_symmetry_Int_Tables_number 123
_symmetry_space_group_name_Hall '-P 4 2'
loop_
_atom_site_label
_atom_site_fract_x
_atom_site_fract_y
_atom_site_fract_z
Cs1 0.000 0.000 0.000
Sc1 0.000 0.500 0.000
Sn1 0.000 0.000 0.500
P1 0.500 0.500 0.500


Entry 6:
# Zn2PdRu | the Alexandria database | PBE-GGA | optimized geometry
# V	182	Å³/cell
# energy relative to the elements	108	meV/atom
# total moment	0.133	μB per atom
data_Zn2PdRu
_chemical_formula_sum 'Zn6 Pd3 Ru3'
_cell_length_a 2.7243
_cell_length_b 2.7243
_cell_length_c 28.3439
_cell_angle_alpha 90.00
_cell_angle_beta 90.00
_cell_angle_gamma 120.00
_symmetry_space_group_name_H-M 'R -3 m'
_symmetry_Int_Tables_number 166
_symmetry_space_group_name_Hall '-R 3 2"'
loop_
_atom_site_label
_atom_site_fract_x
_atom_site_fract_y
_atom_site_fract_z
Zn1 0.0000 0.0000 0.0905
Pd1 0.0000 0.0000 0.5000
Ru1 0.0000 0.0000 0.0000